# 1
## Si2Ag5F12 (GGA-PBE)

Data for an optimized crystal structure of Si2Ag5F12.

abc: 10.392 5.654 9.587
angles: 90.00 93.70 90.00
Space group C2/m (No. 12)
Asymmetric unit:
1 Si 0.000 0.249 0.000 (multiplicity 4)
2 Ag 0.000 0.000 0.500 (multiplicity 2)
3 Ag 0.155 0.500 0.574 (multiplicity 4)
4 Ag 0.209 0.000 0.686 (multiplicity 4)
5 F 0.068 0.000 0.101 (multiplicity 4)
6 F 0.068 0.500 0.101 (multiplicity 4)
7 F 0.124 0.251 0.907 (multiplicity 8)
8 F 0.133 0.240 0.367 (multiplicity 8)

The total magnetization comes out at 0.00 Bohr magnetons per cell. The value obtained for the uncorrected formation energy is -1.79 eV per atom. The calculation puts the energy at -163.08 eV/cell. The volume is 14.793 Å³ per atom.

=====

# 2
## Rb3NbPb2Se6 (GGA-PBE)

Data for an optimized crystal structure of Rb3NbPb2Se6.

abc: 7.507 12.971 8.167
angles: 90.00 107.92 90.00
Space group C2/m (No. 12)
Asymmetric unit:
1 Rb 0.000 0.000 0.000 (multiplicity 2)
2 Rb 0.000 0.324 0.000 (multiplicity 4)
3 Nb 0.000 0.500 0.500 (multiplicity 2)
4 Pb 0.000 0.165 0.500 (multiplicity 4)
5 Se 0.210 0.354 0.692 (multiplicity 8)
6 Se 0.225 0.500 0.305 (multiplicity 4)

The total magnetization comes out at 0.00 Bohr magnetons per cell. The value obtained for the uncorrected formation energy is -0.87 eV per atom. The calculation puts the energy at -103.51 eV/cell. The volume is 31.530 Å³ per atom.